The following is a PBE-GGA calculation of a relaxed Pr2BeAu crystal, from the Alexandria database.

Total moment in Bohr magnetons per cell: 0.000
E_form in meV per atom: -260.8
E_tot in eV per atom: -4.40
Space-group type: P4/mmm (123)

Unit cell a=3.698 b=3.698 c=7.144 alpha=90.00 beta=90.00 gamma=90.00
Element x y z (fractional)
Pr 0.000 0.000 0.236
Pr 0.000 0.000 0.764
Be 0.500 0.500 0.000
Au 0.500 0.500 0.500